1.
The following is a GGA-PBE calculation of a relaxed structure of NaTlF2, from Alexandria via LeMat-Bulk.

Properties
E_form (uncorrected)	-2.037	eV/atom
Fermi-level density of states	0.00	states/eV per cell
mass density	6.9	Mg/m³
total magnetic moment	0.00	μB per formula unit
ΔE to the lowest computed polymorph	0.622	eV/f.u.

Unit cell a=3.147 b=3.147 c=6.492 alpha=90.00 beta=90.00 gamma=90.00
Space group P4/mmm (No. 123)
Asymmetric unit:
Na (0.000, 0.000, 0.000) (multiplicity 1)
Tl (0.000, 0.000, 0.500) (multiplicity 1)
F (0.500, 0.500, 0.214) (multiplicity 2)

***

2.
The following is a GGA-PBE calculation of a relaxed structure of Li3Zn2Cd6, from Alexandria via LeMat-Bulk.

Properties
Fermi-level density of states	7.34	states/eV per cell
mass density	5.7	Mg/m³
energy of formation from the pure elements	-0.012	eV per atom
total magnetic moment	0.00	μB per formula unit
ΔE to the lowest computed polymorph	1.300	eV/f.u.

Unit cell a=4.261 b=4.261 c=26.532 alpha=90.00 beta=90.00 gamma=90.00
Space group I4/mmm (No. 139)
Asymmetric unit:
Li (0.000, 0.000, 0.000) (multiplicity 2)
Li (0.000, 0.000, 0.153) (multiplicity 4)
Zn (0.000, 0.000, 0.366) (multiplicity 4)
Cd (0.000, 0.000, 0.266) (multiplicity 4)
Cd (0.000, 0.500, 0.065) (multiplicity 8)

***

3.
The following is a GGA-PBE calculation of a relaxed structure of Cr3CdW, from Alexandria via LeMat-Bulk.

Properties
Fermi-level density of states	2.85	states/eV per cell
mass density	7.2	Mg/m³
energy of formation from the pure elements	1.390	eV per atom
total magnetic moment	8.11	μB per formula unit
ΔE to the lowest computed polymorph	0.000	eV/f.u.

Unit cell a=4.714 b=4.714 c=4.714 alpha=90.00 beta=90.00 gamma=90.00
Space group Pm-3m (No. 221)
Asymmetric unit:
Cr (0.000, 0.000, 0.500) (multiplicity 3)
Cd (0.500, 0.500, 0.500) (multiplicity 1)
W (0.000, 0.000, 0.000) (multiplicity 1)